Record 1
A plane-wave DFT calculation with PBE was carried out for an optimized crystal structure of LuCoPb2.

```
4
Lattice="0.000 3.578 3.578 3.578 0.000 3.578 3.578 3.578 0.000" Properties=species:S:1:pos:R:3 pbc="T T T"
Lu 0.000 0.000 0.000
Co 1.789 1.789 1.789
Pb 3.578 3.578 3.578
Pb 5.367 5.367 5.367
```

## Properties
As for the total DFT energy (no corrections): -4.51 eV per atom. The space group is F-43m (216).

Record 2
A plane-wave DFT calculation with PBE was carried out for an optimized crystal structure of LuCoPb2.

```
4
Lattice="0.000 3.581 3.581 3.581 0.000 3.581 3.581 3.581 0.000" Properties=species:S:1:pos:R:3 pbc="T T T"
Lu 0.000 0.000 0.000
Co 5.371 5.371 5.371
Pb 1.790 1.790 1.790
Pb 3.581 3.581 3.581
```

## Properties
As for the total DFT energy (no corrections): -4.51 eV per atom. The space group is F-43m (216).

Record 3
A plane-wave DFT calculation with PBE was carried out for an optimized crystal structure of LuCoRePb.

```
4
Lattice="0.000 3.307 3.307 3.307 0.000 3.307 3.307 3.307 0.000" Properties=species:S:1:pos:R:3 pbc="T T T"
Lu 0.000 0.000 0.000
Co 4.960 4.960 4.960
Re 1.653 1.653 1.653
Pb 3.307 3.307 3.307
```

## Properties
As for the total DFT energy (no corrections): -6.49 eV per atom. The space group is F-43m (216).

Record 4
A plane-wave DFT calculation with PBE was carried out for an optimized crystal structure of LuCoRePb.

```
4
Lattice="0.000 3.343 3.343 3.343 0.000 3.343 3.343 3.343 0.000" Properties=species:S:1:pos:R:3 pbc="T T T"
Lu 0.000 0.000 0.000
Co 3.343 3.343 3.343
Re 5.015 5.015 5.015
Pb 1.672 1.672 1.672
```

## Properties
As for the total DFT energy (no corrections): -6.28 eV per atom. The space group is F-43m (216).

Record 5
A plane-wave DFT calculation with PBE was carried out for an optimized crystal structure of LuCoTcPb.

```
4
Lattice="0.000 3.352 3.352 3.352 0.000 3.352 3.352 3.352 0.000" Properties=species:S:1:pos:R:3 pbc="T T T"
Lu 0.000 0.000 0.000
Co 3.352 3.352 3.352
Tc 5.028 5.028 5.028
Pb 1.676 1.676 1.676
```

## Properties
As for the total DFT energy (no corrections): -5.98 eV per atom. The space group is F-43m (216).

Record 6
A plane-wave DFT calculation with PBE was carried out for an optimized crystal structure of LuCoTcPb.

```
4
Lattice="0.000 3.293 3.293 3.293 0.000 3.293 3.293 3.293 0.000" Properties=species:S:1:pos:R:3 pbc="T T T"
Lu 0.000 0.000 0.000
Co 4.939 4.939 4.939
Tc 1.646 1.646 1.646
Pb 3.293 3.293 3.293
```

## Properties
As for the total DFT energy (no corrections): -6.25 eV per atom. The space group is F-43m (216).

Record 7
A plane-wave DFT calculation with PBE was carried out for an optimized crystal structure of LuCoPd.

```
3
Lattice="0.000 3.071 3.071 3.071 0.000 3.071 3.071 3.071 0.000" Properties=species:S:1:pos:R:3 pbc="T T T"
Lu 0.000 0.000 0.000
Co 4.606 4.606 4.606
Pd 1.535 1.535 1.535
```

## Properties
As for the total DFT energy (no corrections): -5.38 eV per atom. The space group is F-43m (216).

Record 8
A plane-wave DFT calculation with PBE was carried out for an optimized crystal structure of LuCoPd.

```
3
Lattice="0.000 3.040 3.040 3.040 0.000 3.040 3.040 3.040 0.000" Properties=species:S:1:pos:R:3 pbc="T T T"
Lu 0.000 0.000 0.000
Co 1.520 1.520 1.520
Pd 3.040 3.040 3.040
```

## Properties
As for the total DFT energy (no corrections): -5.74 eV per atom. The space group is F-43m (216).

Record 9
A plane-wave DFT calculation with PBE was carried out for an optimized crystal structure of LuCoSbPd.

```
4
Lattice="0.000 3.333 3.333 3.333 0.000 3.333 3.333 3.333 0.000" Properties=species:S:1:pos:R:3 pbc="T T T"
Lu 0.000 0.000 0.000
Co 3.333 3.333 3.333
Sb 1.667 1.667 1.667
Pd 5.000 5.000 5.000
```

## Properties
As for the total DFT energy (no corrections): -5.50 eV per atom. The space group is F-43m (216).

Record 10
A plane-wave DFT calculation with PBE was carried out for an optimized crystal structure of LuCoSbPd.

```
4
Lattice="0.000 3.271 3.271 3.271 0.000 3.271 3.271 3.271 0.000" Properties=species:S:1:pos:R:3 pbc="T T T"
Lu 0.000 0.000 0.000
Co 4.906 4.906 4.906
Sb 3.271 3.271 3.271
Pd 1.635 1.635 1.635
```

## Properties
As for the total DFT energy (no corrections): -5.73 eV per atom. The space group is F-43m (216).

Record 11
A plane-wave DFT calculation with PBE was carried out for an optimized crystal structure of LuCoSiPd.

```
4
Lattice="0.000 3.129 3.129 3.129 0.000 3.129 3.129 3.129 0.000" Properties=species:S:1:pos:R:3 pbc="T T T"
Lu 0.000 0.000 0.000
Co 4.694 4.694 4.694
Si 3.129 3.129 3.129
Pd 1.565 1.565 1.565
```

## Properties
As for the total DFT energy (no corrections): -6.07 eV per atom. The space group is F-43m (216).

Record 12
A plane-wave DFT calculation with PBE was carried out for an optimized crystal structure of LuCoSiPd.

```
4
Lattice="0.000 3.183 3.183 3.183 0.000 3.183 3.183 3.183 0.000" Properties=species:S:1:pos:R:3 pbc="T T T"
Lu 0.000 0.000 0.000
Co 3.183 3.183 3.183
Si 1.592 1.592 1.592
Pd 4.775 4.775 4.775
```

## Properties
As for the total DFT energy (no corrections): -5.80 eV per atom. The space group is F-43m (216).

Record 13
A plane-wave DFT calculation with PBE was carried out for an optimized crystal structure of LuZnCoPd.

```
4
Lattice="0.000 3.163 3.163 3.163 0.000 3.163 3.163 3.163 0.000" Properties=species:S:1:pos:R:3 pbc="T T T"
Lu 0.000 0.000 0.000
Zn 3.163 3.163 3.163
Co 4.745 4.745 4.745
Pd 1.582 1.582 1.582
```

## Properties
As for the total DFT energy (no corrections): -4.94 eV per atom. The space group is F-43m (216).

Record 14
A plane-wave DFT calculation with PBE was carried out for an optimized crystal structure of LuZnCoPd.

```
4
Lattice="0.000 3.210 3.210 3.210 0.000 3.210 3.210 3.210 0.000" Properties=species:S:1:pos:R:3 pbc="T T T"
Lu 0.000 0.000 0.000
Zn 1.605 1.605 1.605
Co 3.210 3.210 3.210
Pd 4.814 4.814 4.814
```

## Properties
As for the total DFT energy (no corrections): -4.74 eV per atom. The space group is F-43m (216).

Record 15
A plane-wave DFT calculation with PBE was carried out for an optimized crystal structure of LuCoPt2.

```
4
Lattice="0.000 3.204 3.204 3.204 0.000 3.204 3.204 3.204 0.000" Properties=species:S:1:pos:R:3 pbc="T T T"
Lu 0.000 0.000 0.000
Co 1.602 1.602 1.602
Pt 3.204 3.204 3.204
Pt 4.805 4.805 4.805
```

## Properties
As for the total DFT energy (no corrections): -6.41 eV per atom. The space group is F-43m (216).

Record 16
A plane-wave DFT calculation with PBE was carried out for an optimized crystal structure of LuCoSiPt.

```
4
Lattice="0.000 3.203 3.203 3.203 0.000 3.203 3.203 3.203 0.000" Properties=species:S:1:pos:R:3 pbc="T T T"
Lu 0.000 0.000 0.000
Co 3.203 3.203 3.203
Si 1.601 1.601 1.601
Pt 4.804 4.804 4.804
```

## Properties
As for the total DFT energy (no corrections): -6.09 eV per atom. The space group is F-43m (216).

Record 17
A plane-wave DFT calculation with PBE was carried out for an optimized crystal structure of LuCoSiPt.

```
4
Lattice="0.000 3.148 3.148 3.148 0.000 3.148 3.148 3.148 0.000" Properties=species:S:1:pos:R:3 pbc="T T T"
Lu 0.000 0.000 0.000
Co 4.723 4.723 4.723
Si 3.148 3.148 3.148
Pt 1.574 1.574 1.574
```

## Properties
As for the total DFT energy (no corrections): -6.33 eV per atom. The space group is F-43m (216).

Record 18
A plane-wave DFT calculation with PBE was carried out for an optimized crystal structure of LuCoSnPt.

```
4
Lattice="0.000 3.315 3.315 3.315 0.000 3.315 3.315 3.315 0.000" Properties=species:S:1:pos:R:3 pbc="T T T"
Lu 0.000 0.000 0.000
Co 3.315 3.315 3.315
Sn 1.657 1.657 1.657
Pt 4.972 4.972 4.972
```

## Properties
As for the total DFT energy (no corrections): -5.69 eV per atom. The space group is F-43m (216).

Record 19
A plane-wave DFT calculation with PBE was carried out for an optimized crystal structure of LuCoSnPt.

```
4
Lattice="0.000 3.290 3.290 3.290 0.000 3.290 3.290 3.290 0.000" Properties=species:S:1:pos:R:3 pbc="T T T"
Lu 0.000 0.000 0.000
Co 4.934 4.934 4.934
Sn 3.290 3.290 3.290
Pt 1.645 1.645 1.645
```

## Properties
As for the total DFT energy (no corrections): -6.01 eV per atom. The space group is F-43m (216).

Record 20
A plane-wave DFT calculation with PBE was carried out for an optimized crystal structure of LuZnCoPt.

```
4
Lattice="0.000 3.219 3.219 3.219 0.000 3.219 3.219 3.219 0.000" Properties=species:S:1:pos:R:3 pbc="T T T"
Lu 0.000 0.000 0.000
Zn 1.609 1.609 1.609
Co 3.219 3.219 3.219
Pt 4.828 4.828 4.828
```

## Properties
As for the total DFT energy (no corrections): -5.06 eV per atom. The space group is F-43m (216).